(1)
{"formula": "Li8TeP2", "functional": "PBE-GGA", "state": "relaxed", "lattice_angstrom": [[-2.1183, 6.4607, 3.1497], [2.1183, -6.4607, 3.1497], [2.1183, 6.4607, -3.1497]], "species": ["Li", "Li", "Li", "Li", "Li", "Li", "Li", "Li", "Te", "P", "P"], "frac_coords": [[0.0000, 0.0000, 0.0000], [0.1421, 0.4744, 0.6677], [0.2504, 0.9179, 0.3325], [0.3924, 0.3924, 0.0000], [0.5265, 0.6971, 0.8295], [0.5853, 0.9179, 0.6675], [0.8068, 0.4744, 0.3323], [0.8676, 0.6971, 0.1705], [0.6963, 0.1963, 0.5000], [0.0174, 0.1961, 0.8213], [0.3747, 0.1961, 0.1787]], "spacegroup": "Imm2, No. 44", "e_form_raw_kj_per_mol_atoms": -73}

(2)
{"formula": "Ti2Ni6Sb", "functional": "PBE-GGA", "state": "relaxed", "lattice_angstrom": [[3.2120, -4.8627, 0.0000], [3.2120, 4.8627, 0.0000], [0.0000, 0.0000, 3.9406]], "species": ["Ti", "Ti", "Ni", "Ni", "Ni", "Ni", "Ni", "Ni", "Sb"], "frac_coords": [[0.2375, 0.7625, 0.0000], [0.7625, 0.2375, 0.0000], [0.1779, 0.4561, 0.5000], [0.3120, 0.3120, 0.0000], [0.4561, 0.1779, 0.5000], [0.5439, 0.8221, 0.5000], [0.6880, 0.6880, 0.0000], [0.8221, 0.5439, 0.5000], [0.0000, 0.0000, 0.5000]], "spacegroup": "Cmmm, No. 65", "e_form_raw_kj_per_mol_atoms": -13}

(3)
{"formula": "Hf2PaTl", "functional": "PBE-GGA", "state": "relaxed", "lattice_angstrom": [[3.6672, 0.0000, 0.0000], [0.0000, 3.6672, 0.0000], [0.0000, 0.0000, 6.8426]], "species": ["Hf", "Hf", "Pa", "Tl"], "frac_coords": [[0.0000, 0.0000, 0.2430], [0.0000, 0.0000, 0.7570], [0.5000, 0.5000, 0.0000], [0.5000, 0.5000, 0.5000]], "spacegroup": "P4/mmm, No. 123", "formation_energy_ev_per_atom": 0.1459}

(4)
{"formula": "Ba2ScCl", "functional": "PBE-GGA", "state": "relaxed", "lattice_angstrom": [[3.9790, 0.0000, 0.0000], [0.0000, 3.9790, 0.0000], [0.0000, 0.0000, 11.7755]], "species": ["Ba", "Ba", "Sc", "Cl"], "frac_coords": [[0.0000, 0.0000, 0.0000], [0.5000, 0.5000, 0.3365], [0.5000, 0.5000, 0.7880], [0.0000, 0.0000, 0.4488]], "spacegroup": "P4mm, No. 99", "e_form_raw_kj_per_mol_atoms": -37}

(5)
{"formula": "OsAuCl2", "functional": "PBE-GGA", "state": "relaxed", "lattice_angstrom": [[3.0420, 0.0000, 0.0000], [0.0000, 3.9375, 0.0000], [0.0000, 0.0000, 6.1794]], "species": ["Os", "Au", "Cl", "Cl"], "frac_coords": [[0.0000, 0.0000, 0.0000], [0.0000, 0.0000, 0.5000], [0.5000, 0.5000, 0.2326], [0.5000, 0.5000, 0.7674]], "spacegroup": "Pmmm, No. 47", "e_form_raw_kj_per_mol_atoms": 111}

(6)
{"formula": "Tm5U2Ru5", "functional": "PBE-GGA", "state": "relaxed", "lattice_angstrom": [[4.2652, -2.4599, 0.0000], [4.2652, 2.4599, 0.0000], [-2.8265, 0.0000, 12.0483]], "species": ["Tm", "Tm", "Tm", "Tm", "Tm", "U", "U", "Ru", "Ru", "Ru", "Ru", "Ru"], "frac_coords": [[0.0000, 0.0000, 0.0000], [0.1905, 0.1905, 0.5724], [0.2812, 0.2812, 0.8446], [0.7188, 0.7188, 0.1554], [0.8095, 0.8095, 0.4276], [0.4256, 0.4256, 0.2754], [0.5744, 0.5744, 0.7246], [0.1142, 0.1142, 0.3397], [0.3599, 0.3599, 0.0775], [0.5000, 0.5000, 0.5000], [0.6401, 0.6401, 0.9225], [0.8858, 0.8858, 0.6603]], "spacegroup": "C2/m, No. 12", "formation_energy_ev_per_atom": -0.2647}

(7)
{"formula": "HfZr2Pa", "functional": "PBE-GGA", "state": "relaxed", "lattice_angstrom": [[5.7347, 0.0000, 0.0000], [0.0000, 6.2278, 0.0000], [-5.4045, 0.0000, 10.5739]], "species": ["Hf", "Hf", "Hf", "Hf", "Zr", "Zr", "Zr", "Zr", "Zr", "Zr", "Zr", "Zr", "Pa", "Pa", "Pa", "Pa"], "frac_coords": [[0.0049, 0.1251, 0.1223], [0.0049, 0.8749, 0.6223], [0.9951, 0.1251, 0.3777], [0.9951, 0.8749, 0.8777], [0.9996, 0.3717, 0.6187], [0.0004, 0.3717, 0.8813], [0.9996, 0.6283, 0.1187], [0.0004, 0.6283, 0.3813], [0.4676, 0.3751, 0.3707], [0.4676, 0.6249, 0.8707], [0.5324, 0.3751, 0.1293], [0.5324, 0.6249, 0.6293], [0.4867, 0.1280, 0.8658], [0.4867, 0.8720, 0.3658], [0.5133, 0.1280, 0.6342], [0.5133, 0.8720, 0.1342]], "spacegroup": "P2/c, No. 13", "formation_energy_ev_per_atom": 0.0825}

(8)
{"formula": "K4Sm3NpSe8", "functional": "PBE-GGA", "state": "relaxed", "lattice_angstrom": [[4.2987, 2.4818, 7.6891], [-4.2987, 2.4818, 7.6891], [0.0000, -4.9637, 7.6891]], "species": ["K", "K", "K", "K", "Sm", "Sm", "Sm", "Np", "Se", "Se", "Se", "Se", "Se", "Se", "Se", "Se"], "frac_coords": [[0.0000, 0.0000, 0.0000], [0.0000, 0.5000, 0.5000], [0.5000, 0.0000, 0.5000], [0.5000, 0.5000, 0.0000], [0.0000, 0.0000, 0.5000], [0.0000, 0.5000, 0.0000], [0.5000, 0.0000, 0.0000], [0.5000, 0.5000, 0.5000], [0.2365, 0.2365, 0.2365], [0.2371, 0.7355, 0.7355], [0.2645, 0.2645, 0.7629], [0.2645, 0.7629, 0.2645], [0.7355, 0.2371, 0.7355], [0.7355, 0.7355, 0.2371], [0.7629, 0.2645, 0.2645], [0.7635, 0.7635, 0.7635]], "spacegroup": "R-3m, No. 166", "e_form_raw_kj_per_mol_atoms": -157}

(9)
{"formula": "La3U2O10", "functional": "PBE-GGA", "state": "relaxed", "lattice_angstrom": [[6.0654, -2.7806, 0.0000], [6.0654, 2.7806, 0.0000], [-5.7982, 0.0000, 6.3647]], "species": ["La", "La", "La", "U", "U", "O", "O", "O", "O", "O", "O", "O", "O", "O", "O"], "frac_coords": [[0.0000, 0.0000, 0.0000], [0.3999, 0.3999, 0.5974], [0.6001, 0.6001, 0.4026], [0.1902, 0.1902, 0.7894], [0.8098, 0.8098, 0.2106], [0.0556, 0.5252, 0.7154], [0.1348, 0.6496, 0.1130], [0.2230, 0.7770, 0.5000], [0.3504, 0.8652, 0.8870], [0.4748, 0.9444, 0.2846], [0.5252, 0.0556, 0.7154], [0.6496, 0.1348, 0.1130], [0.7770, 0.2230, 0.5000], [0.8652, 0.3504, 0.8870], [0.9444, 0.4748, 0.2846]], "spacegroup": "C2/m, No. 12", "e_form_raw_kj_per_mol_atoms": -331}

(10)
{"formula": "InTc2", "functional": "PBE-GGA", "state": "relaxed", "lattice_angstrom": [[4.6570, 0.0000, 0.0000], [-2.3285, 4.0331, 0.0000], [0.0000, 0.0000, 5.3045]], "species": ["In", "In", "Tc", "Tc", "Tc", "Tc"], "frac_coords": [[0.3333, 0.6667, 0.2500], [0.6667, 0.3333, 0.7500], [0.0000, 0.0000, 0.0000], [0.0000, 0.0000, 0.5000], [0.3333, 0.6667, 0.7500], [0.6667, 0.3333, 0.2500]], "spacegroup": "P6_3/mmc, No. 194", "formation_energy_ev_per_atom": 0.5381}

(11)
{"formula": "SmGdHoOs", "functional": "PBE-GGA", "state": "relaxed", "lattice_angstrom": [[0.0000, 3.6523, 3.6523], [3.6523, 0.0000, 3.6523], [3.6523, 3.6523, 0.0000]], "species": ["Sm", "Gd", "Ho", "Os"], "frac_coords": [[0.0000, 0.0000, 0.0000], [0.5000, 0.5000, 0.5000], [0.7500, 0.7500, 0.7500], [0.2500, 0.2500, 0.2500]], "spacegroup": "F-43m, No. 216", "formation_energy_ev_per_atom": 0.1850}

(12)
{"formula": "SrSiTe2", "functional": "PBE-GGA", "state": "relaxed", "lattice_angstrom": [[2.2071, 1.2743, 7.4478], [-2.2071, 1.2743, 7.4478], [0.0000, -2.5486, 7.4478]], "species": ["Sr", "Si", "Te", "Te"], "frac_coords": [[0.0000, 0.0000, 0.0000], [0.5000, 0.5000, 0.5000], [0.2380, 0.2380, 0.2380], [0.7620, 0.7620, 0.7620]], "spacegroup": "R-3m, No. 166", "e_form_raw_kj_per_mol_atoms": -61}

| no. | density (g/cm3) |
| --- | --- |
| 1 | 2.36 |
| 2 | 7.68 |
| 3 | 14.30 |
| 4 | 3.16 |
| 5 | 10.28 |
| 6 | 11.99 |
| 7 | 10.41 |
| 8 | 4.98 |
| 9 | 8.14 |
| 10 | 10.36 |
| 11 | 11.30 |
| 12 | 4.90 |